This record from Alexandria via LeMat-Bulk describes a relaxed Mg6MnZnO8 crystal. The functional is PBE with a Hubbard U.

Calculated values
**Total energy**: -6.007 eV/atom
**Crystal system**: tetragonal
**Symmetry**: No. 123
**Total magnetization**: 5.00 μB per formula unit

a b c (Å): 4.3092 4.3092 8.5971
angles (deg): 90.00 90.00 90.00
Closest atoms and distances in Å follow each position.
Atoms (fractional coordinates):
1 Mg 0.0000 0.0000 0.0000  6 O 2.15
2 Mg 0.0000 0.0000 0.5000  6 O 2.15
3 Mg 0.0000 0.5000 0.2472  6 O 2.13-2.17
4 Mg 0.0000 0.5000 0.7528  6 O 2.13-2.17
5 Mg 0.5000 0.0000 0.2472  6 O 2.13-2.17
6 Mg 0.5000 0.0000 0.7528  6 O 2.13-2.17
7 Mn 0.5000 0.5000 0.5000  6 O 2.15-2.19
8 Zn 0.5000 0.5000 0.0000  6 O 2.11-2.15
9 O 0.0000 0.0000 0.2499  6 Mg 2.15
10 O 0.0000 0.0000 0.7501  6 Mg 2.15
11 O 0.0000 0.5000 0.0000  4 Mg 2.13-2.15, 2 Zn 2.15
12 O 0.0000 0.5000 0.5000  2 Mn 2.15, 4 Mg 2.15-2.17
13 O 0.5000 0.0000 0.0000  4 Mg 2.13-2.15, 2 Zn 2.15
14 O 0.5000 0.0000 0.5000  2 Mn 2.15, 4 Mg 2.15-2.17
15 O 0.5000 0.5000 0.2451  1 Zn 2.11, 4 Mg 2.15, 1 Mn 2.19
16 O 0.5000 0.5000 0.7549  1 Zn 2.11, 4 Mg 2.15, 1 Mn 2.19